A plane-wave DFT calculation with PBE was carried out for a relaxed Nd3B2O8 crystal.

- Final energy: -8.039 eV/atom
- DOS(E_F): 8.928 states/eV/f.u.
- Formation energy without anion corrections: -2.860 eV per atom

CIF file:
```
data_Nd3B2O8
_cell_length_a 5.1116
_cell_length_b 5.1116
_cell_length_c 19.1184
_cell_angle_alpha 90.00
_cell_angle_beta 90.00
_cell_angle_gamma 120.00
_space_group_name_H-M_alt 'R -3 m'
_space_group_IT_number 166
_space_group_name_Hall '-R 3 2"'
loop_
_atom_site_label
_atom_site_fract_x
_atom_site_fract_y
_atom_site_fract_z
_atom_site_occupancy
Nd1 0.0000 0.0000 0.0000 1
Nd2 0.0000 0.0000 0.2109 1
B1 0.0000 0.0000 0.4102 1
O1 0.0000 0.0000 0.3318 1
O2 0.0157 0.5078 0.2324 1
```

---

A plane-wave DFT calculation with PBE was carried out for a relaxed Nd2BO5 crystal.

- Final energy: -7.886 eV/atom
- DOS(E_F): 3.742 states/eV/f.u.
- Formation energy without anion corrections: -2.760 eV per atom

CIF file:
```
data_Nd2BO5
_cell_length_a 4.3903
_cell_length_b 13.8628
_cell_length_c 10.5298
_cell_angle_alpha 90.00
_cell_angle_beta 90.00
_cell_angle_gamma 90.00
_space_group_name_H-M_alt 'C m c m'
_space_group_IT_number 63
_space_group_name_Hall '-C 2c 2'
loop_
_atom_site_label
_atom_site_fract_x
_atom_site_fract_y
_atom_site_fract_z
_atom_site_occupancy
Nd1 0.0000 0.1424 0.0259 1
B1 0.0000 0.0192 0.2500 1
O1 0.0000 0.0254 0.6338 1
O2 0.0000 0.1201 0.2500 1
O3 0.0000 0.3101 0.5028 1
```

---

A plane-wave DFT calculation with PBE was carried out for a relaxed NdB3O6 crystal.

- Final energy: -8.211 eV/atom
- Distance to the lowest polymorph of the same formula: 0.000 eV per formula unit
- DOS(E_F): 0.000 states/eV/f.u.
- Formation energy without anion corrections: -2.756 eV per atom

CIF file:
```
data_NdB3O6
_cell_length_a 16.3753
_cell_length_b 7.5454
_cell_length_c 12.5805
_cell_angle_alpha 90.00
_cell_angle_beta 90.00
_cell_angle_gamma 90.00
_space_group_name_H-M_alt 'P n m a'
_space_group_IT_number 62
loop_
_space_group_symop_operation_xyz
'x,y,z'
'-x,-y,-z'
'-x+1/2,-y,z+1/2'
'x+1/2,y,-z+1/2'
'x+1/2,-y+1/2,-z+1/2'
'-x+1/2,y+1/2,z+1/2'
'-x,y+1/2,-z'
'x,-y+1/2,z'
loop_
_atom_site_label
_atom_site_fract_x
_atom_site_fract_y
_atom_site_fract_z
_atom_site_occupancy
Nd1 0.0478 0.2500 0.0856 1
Nd2 0.1177 0.7500 0.5050 1
Nd3 0.1280 0.7500 0.2231 1
Nd4 0.1706 0.2500 0.4300 1
B1 0.0284 0.0614 0.3186 1
B2 0.0594 0.0731 0.8444 1
B3 0.1104 0.0777 0.6453 1
B4 0.1554 0.5745 0.9802 1
B5 0.2164 0.0702 0.8108 1
B6 0.2443 0.0688 0.1279 1
O1 0.0172 0.5152 0.2074 1
O2 0.0481 0.2500 0.8913 1
O3 0.0492 0.5596 0.6252 1
O4 0.0593 0.2500 0.3021 1
O5 0.0733 0.5495 0.9332 1
O6 0.0801 0.2500 0.6103 1
O7 0.0934 0.5371 0.3704 1
O8 0.1295 0.0723 0.7653 1
O9 0.1620 0.7500 0.0313 1
O10 0.1671 0.0567 0.0665 1
O11 0.1842 0.0346 0.5805 1
O12 0.2182 0.5548 0.8984 1
O13 0.2253 0.7500 0.6315 1
O14 0.2264 0.5098 0.2305 1
O15 0.2449 0.2500 0.8451 1
```

---

A plane-wave DFT calculation with PBE was carried out for a relaxed NdBO crystal.

- Final energy: -7.090 eV/atom
- DOS(E_F): 0.173 states/eV/f.u.
- Formation energy without anion corrections: -1.622 eV per atom

CIF file:
```
data_NdBO
_cell_length_a 6.1551
_cell_length_b 3.7720
_cell_length_c 8.0023
_cell_angle_alpha 90.00
_cell_angle_beta 104.21
_cell_angle_gamma 90.00
_space_group_name_H-M_alt 'C 1 2/m 1'
_space_group_IT_number 12
loop_
_space_group_symop_operation_xyz
'x,y,z'
'-x,-y,-z'
'-x,y,-z'
'x,-y,z'
'x+1/2,y+1/2,z'
'-x+1/2,-y+1/2,-z'
'-x+1/2,y+1/2,-z'
'x+1/2,-y+1/2,z'
loop_
_atom_site_label
_atom_site_fract_x
_atom_site_fract_y
_atom_site_fract_z
_atom_site_occupancy
Nd1 0.0981 0.0000 0.2839 1
B1 0.1466 0.5000 0.9967 1
O1 0.2107 0.0000 0.6140 1
```

---

A plane-wave DFT calculation with PBE was carried out for a relaxed Nd13B4O26 crystal.

- Final energy: -8.229 eV/atom
- DOS(E_F): 21.359 states/eV/f.u.
- Formation energy without anion corrections: -3.169 eV per atom

CIF file:
```
data_Nd13B4O26
_cell_length_a 6.7995
_cell_length_b 12.8092
_cell_length_c 14.4142
_cell_angle_alpha 90.00
_cell_angle_beta 99.52
_cell_angle_gamma 90.00
_space_group_name_H-M_alt 'P 1 21/c 1'
_space_group_IT_number 14
loop_
_space_group_symop_operation_xyz
'x,y,z'
'-x,-y,-z'
'-x,y+1/2,-z+1/2'
'x,-y+1/2,z+1/2'
loop_
_atom_site_label
_atom_site_fract_x
_atom_site_fract_y
_atom_site_fract_z
_atom_site_occupancy
Nd1 0.0000 0.0000 0.0000 1
Nd2 0.0541 0.2172 0.1990 1
Nd3 0.1414 0.1919 0.4688 1
Nd4 0.2343 0.9998 0.6674 1
Nd5 0.3313 0.6168 0.9461 1
Nd6 0.3766 0.6978 0.6647 1
Nd7 0.4892 0.6112 0.4154 1
B1 0.1429 0.0961 0.8361 1
B2 0.3202 0.0551 0.2893 1
O1 0.0089 0.6505 0.6333 1
O2 0.0217 0.1326 0.6040 1
O3 0.1419 0.0793 0.3213 1
O4 0.1583 0.1556 0.0675 1
O5 0.1684 0.5106 0.3510 1
O6 0.1971 0.6581 0.0917 1
O7 0.2689 0.1490 0.7849 1
O8 0.2827 0.7405 0.3256 1
O9 0.3327 0.0465 0.5288 1
O10 0.3441 0.5544 0.5516 1
O11 0.3991 0.5449 0.7921 1
O12 0.4256 0.1344 0.2540 1
O13 0.4748 0.2473 0.9749 1
```

---

A plane-wave DFT calculation with PBE was carried out for a relaxed NdB2O6 crystal.

- Final energy: -7.249 eV/atom
- DOS(E_F): 4.672 states/eV/f.u.
- Formation energy without anion corrections: -1.930 eV per atom

CIF file:
```
data_NdB2O6
_cell_length_a 5.8521
_cell_length_b 5.8521
_cell_length_c 4.6796
_cell_angle_alpha 90.00
_cell_angle_beta 90.00
_cell_angle_gamma 120.00
_space_group_name_H-M_alt 'P -3 m 1'
_space_group_IT_number 164
_space_group_name_Hall '-P 3 2"'
loop_
_atom_site_label
_atom_site_fract_x
_atom_site_fract_y
_atom_site_fract_z
_atom_site_occupancy
Nd1 0.0000 0.0000 0.0000 1
B1 0.3333 0.6667 0.2761 1
O1 0.1988 0.3976 0.2673 1
```

---

A plane-wave DFT calculation with PBE was carried out for a relaxed NdBO3 crystal.

- Final energy: -8.157 eV/atom
- DOS(E_F): 0.000 states/eV/f.u.
- Formation energy without anion corrections: -2.893 eV per atom

CIF file:
```
data_NdBO3
_cell_length_a 5.1516
_cell_length_b 8.5539
_cell_length_c 4.9395
_cell_angle_alpha 90.00
_cell_angle_beta 96.89
_cell_angle_gamma 90.00
_space_group_name_H-M_alt 'C 1 c 1'
_space_group_IT_number 9
loop_
_space_group_symop_operation_xyz
'x,y,z'
'x,-y,z+1/2'
'x+1/2,y+1/2,z'
'x+1/2,-y+1/2,z+1/2'
loop_
_atom_site_label
_atom_site_fract_x
_atom_site_fract_y
_atom_site_fract_z
_atom_site_occupancy
Nd1 0.0000 0.1766 0.0000 1
B1 0.4956 0.0328 0.9098 1
O1 0.1750 0.4833 0.1766 1
O2 0.2713 0.0655 0.3787 1
O3 0.4455 0.2003 0.9313 1
```

---

A plane-wave DFT calculation with PBE was carried out for a relaxed Nd4BO7 crystal.

- Final energy: -7.917 eV/atom
- DOS(E_F): 2.411 states/eV/f.u.
- Formation energy without anion corrections: -2.879 eV per atom

CIF file:
```
data_Nd4BO7
_cell_length_a 12.7594
_cell_length_b 4.2774
_cell_length_c 8.4391
_cell_angle_alpha 90.00
_cell_angle_beta 130.80
_cell_angle_gamma 90.00
_space_group_name_H-M_alt 'C 1 2/m 1'
_space_group_IT_number 12
loop_
_space_group_symop_operation_xyz
'x,y,z'
'-x,-y,-z'
'-x,y,-z'
'x,-y,z'
'x+1/2,y+1/2,z'
'-x+1/2,-y+1/2,-z'
'-x+1/2,y+1/2,-z'
'x+1/2,-y+1/2,z'
loop_
_atom_site_label
_atom_site_fract_x
_atom_site_fract_y
_atom_site_fract_z
_atom_site_occupancy
Nd1 0.0940 0.0000 0.2878 1
Nd2 0.2242 0.0000 0.8218 1
B1 0.0000 0.5000 0.5000 1
O1 0.0000 0.0000 0.5000 1
O2 0.0585 0.5000 0.7007 1
O3 0.1439 0.0000 0.0360 1
O4 0.1893 0.5000 0.3446 1
```

---

A plane-wave DFT calculation with PBE was carried out for a relaxed NdB3O6 crystal.

- Final energy: -8.199 eV/atom
- Distance to the lowest polymorph of the same formula: 0.126 eV per formula unit
- DOS(E_F): 0.000 states/eV/f.u.
- Formation energy without anion corrections: -2.744 eV per atom

CIF file:
```
data_NdB3O6
_cell_length_a 9.9102
_cell_length_b 8.1743
_cell_length_c 6.4374
_cell_angle_alpha 90.00
_cell_angle_beta 126.89
_cell_angle_gamma 90.00
_space_group_name_H-M_alt 'C 1 2/c 1'
_space_group_IT_number 15
loop_
_space_group_symop_operation_xyz
'x,y,z'
'-x,-y,-z'
'-x,y,-z+1/2'
'x,-y,z+1/2'
'x+1/2,y+1/2,z'
'-x+1/2,-y+1/2,-z'
'-x+1/2,y+1/2,-z+1/2'
'x+1/2,-y+1/2,z+1/2'
loop_
_atom_site_label
_atom_site_fract_x
_atom_site_fract_y
_atom_site_fract_z
_atom_site_occupancy
Nd1 0.0000 0.2017 0.2500 1
B1 0.0000 0.2224 0.7500 1
B2 0.2267 0.4330 0.0851 1
O1 0.1019 0.3142 0.9926 1
O2 0.1047 0.1137 0.7113 1
O3 0.2030 0.4119 0.5042 1
```

---

A plane-wave DFT calculation with PBE was carried out for a relaxed Pm3NdB4O12 crystal.

- Final energy: -8.271 eV/atom
- DOS(E_F): 0.000 states/eV/f.u.
- Formation energy without anion corrections: -3.010 eV per atom

CIF file:
```
data_Pm3NdB4O12
_cell_length_a 10.3191
_cell_length_b 10.3191
_cell_length_c 8.8545
_cell_angle_alpha 90.00
_cell_angle_beta 90.00
_cell_angle_gamma 120.00
_space_group_name_H-M_alt 'R 3 2'
_space_group_IT_number 155
_space_group_name_Hall 'R 3 2"'
loop_
_atom_site_label
_atom_site_fract_x
_atom_site_fract_y
_atom_site_fract_z
_atom_site_occupancy
Pm1 0.0000 0.5270 0.0000 1
Nd1 0.0000 0.0000 0.0000 1
B1 0.0000 0.0000 0.5000 1
B2 0.0000 0.4715 0.5000 1
O1 0.0000 0.6049 0.5000 1
O2 0.0000 0.8664 0.5000 1
O3 0.0049 0.1962 0.8343 1
```

---

A plane-wave DFT calculation with PBE was carried out for a relaxed NdB2PtO8 crystal.

- Final energy: -6.879 eV/atom
- DOS(E_F): 7.096 states/eV/f.u.
- Formation energy without anion corrections: -1.560 eV per atom

CIF file:
```
data_NdB2PtO8
_cell_length_a 4.9318
_cell_length_b 4.9318
_cell_length_c 6.8552
_cell_angle_alpha 90.00
_cell_angle_beta 90.00
_cell_angle_gamma 120.00
_space_group_name_H-M_alt 'P -3 m 1'
_space_group_IT_number 164
_space_group_name_Hall '-P 3 2"'
loop_
_atom_site_label
_atom_site_fract_x
_atom_site_fract_y
_atom_site_fract_z
_atom_site_occupancy
Nd1 0.0000 0.0000 0.0000 1
B1 0.3333 0.6667 0.2504 1
Pt1 0.0000 0.0000 0.5000 1
O1 0.1686 0.3373 0.3017 1
O2 0.3333 0.6667 0.0357 1
```